# CoRhSe2

An optimized crystal structure of CoRhSe2 (PBE-GGA, Alexandria).

Summary:
formation energy from raw total energies	0.3	kJ per mole of atoms

The structure in CIF format:
```
data_CoRhSe2
_cell_length_a 3.3021
_cell_length_b 3.3021
_cell_length_c 22.4276
_cell_angle_alpha 90.00
_cell_angle_beta 90.00
_cell_angle_gamma 120.00
_symmetry_space_group_name_H-M 'R -3 m'
_symmetry_Int_Tables_number 166
_symmetry_space_group_name_Hall '-R 3 2"'
loop_
_atom_site_label
_atom_site_type_symbol
_atom_site_fract_x
_atom_site_fract_y
_atom_site_fract_z
Co1 Co 0.0000 0.0000 0.0000
Rh1 Rh 0.0000 0.0000 0.5000
Se1 Se 0.0000 0.0000 0.3942
```

# H6PbS2N2

An optimized crystal structure of H6PbS2N2 (PBE-GGA, Alexandria).

Summary:
VASP energy	-52.11	eV/f.u.

The structure in CIF format:
```
data_H6PbS2N2
_cell_length_a 5.4676
_cell_length_b 6.7195
_cell_length_c 6.7208
_cell_angle_alpha 63.91
_cell_angle_beta 67.17
_cell_angle_gamma 67.37
_symmetry_space_group_name_H-M 'P -1'
_symmetry_Int_Tables_number 2
loop_
_symmetry_equiv_pos_as_xyz
'x,y,z'
'-x,-y,-z'
loop_
_atom_site_label
_atom_site_type_symbol
_atom_site_fract_x
_atom_site_fract_y
_atom_site_fract_z
H1 H 0.0171 0.2634 0.2612
H2 H 0.2745 0.8026 0.5687
H3 H 0.2751 0.5692 0.8028
Pb1 Pb 0.0000 0.0000 0.0000
S1 S 0.5005 0.1484 0.8520
N1 N 0.1700 0.7376 0.7379
```

# Nb5AlV

An optimized crystal structure of Nb5AlV (PBE-GGA, Alexandria).

Summary:
energy of formation from the pure elements	124	kJ/mol of formula units

The structure in CIF format:
```
data_Nb5AlV
_cell_length_a 7.2946
_cell_length_b 7.3099
_cell_length_c 10.0512
_cell_angle_alpha 90.00
_cell_angle_beta 110.36
_cell_angle_gamma 90.00
_symmetry_space_group_name_H-M 'C 1 2/c 1'
_symmetry_Int_Tables_number 15
loop_
_symmetry_equiv_pos_as_xyz
'x,y,z'
'-x,-y,-z'
'-x,y,-z+1/2'
'x,-y,z+1/2'
'x+1/2,y+1/2,z'
'-x+1/2,-y+1/2,-z'
'-x+1/2,y+1/2,-z+1/2'
'x+1/2,-y+1/2,z+1/2'
loop_
_atom_site_label
_atom_site_type_symbol
_atom_site_fract_x
_atom_site_fract_y
_atom_site_fract_z
Nb1 Nb 0.0000 0.0451 0.2500
Nb2 Nb 0.1244 0.3525 0.5541
Nb3 Nb 0.2206 0.2593 0.8598
Al1 Al 0.0000 0.4220 0.2500
V1 V 0.0000 0.0000 0.0000
```

# NaZr3Ag

An optimized crystal structure of NaZr3Ag (PBE-GGA, Alexandria).

Summary:
energy of formation from the pure elements	716	kJ/mol of formula units

The structure in CIF format:
```
data_NaZr3Ag
_cell_length_a 4.9864
_cell_length_b 4.9864
_cell_length_c 4.9864
_cell_angle_alpha 90.00
_cell_angle_beta 90.00
_cell_angle_gamma 90.00
_symmetry_space_group_name_H-M 'P m -3 m'
_symmetry_Int_Tables_number 221
_symmetry_space_group_name_Hall '-P 4 2 3'
loop_
_atom_site_label
_atom_site_type_symbol
_atom_site_fract_x
_atom_site_fract_y
_atom_site_fract_z
Na1 Na 0.0000 0.0000 0.0000
Zr1 Zr 0.0000 0.0000 0.5000
Ag1 Ag 0.5000 0.5000 0.5000
```

no.,magnetic moment (Bohr magnetons per cell),mass density (g cm⁻³)
1,0.00,7.5
2,0.00,2.6
3,0.00,7.2
4,0.00,5.4